# 1
The following is a GGA-PBE calculation of a geometry-optimized Pr2MnSnSe5 structure, from Alexandria via LeMat-Bulk.

Unit cell a=4.1670 b=9.1405 c=12.6338 alpha=90.00 beta=90.00 gamma=103.18
Each line ends with the local moment (μB).
Fractional coordinates of all 18 atoms:
Se: 0.0043 0.0086 0.5059  0.06
Se: 0.3354 0.6708 0.0194  0.02
Se: 0.9957 0.9914 0.0059  0.06
Se: 0.3238 0.6475 0.3547  0.04
Se: 0.7115 0.4230 0.2023  0.02
Se: 0.6646 0.3292 0.5194  0.02
Se: 0.6762 0.3525 0.8547  0.04
Se: 0.2885 0.5770 0.7023  0.02
Se: 0.4837 0.9674 0.7429  0.06
Se: 0.5163 0.0326 0.2429  0.06
Pr: 0.1303 0.2607 0.3435  0.03
Pr: 0.8855 0.7709 0.1927  0.05
Pr: 0.8697 0.7393 0.8435  0.03
Pr: 0.1145 0.2291 0.6927  0.05
Mn: 0.4569 0.9138 0.4209  4.06
Mn: 0.5431 0.0862 0.9209  4.06
Sn: 0.8208 0.6417 0.5417  0.02
Sn: 0.1792 0.3584 0.0417  0.02

Results
The symmetry is Cmc2_1, No. 36. For the total energy, the calculation gives -5.67 eV/atom. As for the crystal system: orthorhombic.

---

# 2
The following is a GGA-PBE calculation of a geometry-optimized SrPrMnSe4 structure, from Alexandria via LeMat-Bulk.

Unit cell a=7.0653 b=6.4354 c=8.6507 alpha=90.00 beta=107.30 gamma=90.00
Each line ends with the local moment (μB).
Fractional coordinates of all 14 atoms:
Sr: 0.7371 0.7500 0.9361  0.02
Sr: 0.2629 0.2500 0.0639  0.02
Se: 0.5751 0.2500 0.8774  0.03
Se: 0.4249 0.7500 0.1226  0.03
Se: 0.4212 0.7500 0.5969  0.03
Se: 0.9877 0.4897 0.2582  -0.06
Se: 0.0123 0.5103 0.7418  -0.06
Se: 0.0123 0.9897 0.7418  -0.06
Se: 0.5788 0.2500 0.4031  0.03
Se: 0.9877 0.0103 0.2582  -0.06
Pr: 0.7535 0.7500 0.4398  0.05
Pr: 0.2465 0.2500 0.5602  0.05
Mn: 0.7623 0.2500 0.6860  3.51
Mn: 0.2377 0.7500 0.3140  3.51

Results
The symmetry is P2_1/m, No. 11. For the total energy, the calculation gives -5.60 eV/atom. As for the crystal system: monoclinic.

---

# 3
The following is a GGA-PBE calculation of a geometry-optimized Pr3MnTl3Se8 structure, from Alexandria via LeMat-Bulk.

Unit cell a=8.4261 b=8.4252 c=9.2124 alpha=117.21 beta=90.01 gamma=120.01
Each line ends with the local moment (μB).
Fractional coordinates of all 15 atoms:
Tl: 0.0000 0.0000 0.0000  0.01
Tl: 0.0000 0.5000 0.0000  0.01
Tl: 0.5000 0.5000 0.0000  0.01
Mn: 0.0000 0.0000 0.5000  3.24
Pr: 0.5000 0.0000 0.5000  0.01
Pr: 0.0000 0.5000 0.5000  0.01
Pr: 0.5000 0.5000 0.5000  0.01
Se: 0.7387 0.4774 0.7161  0.00
Se: 0.2094 0.4187 0.6918  -0.04
Se: 0.7731 0.9824 0.6918  -0.04
Se: 0.2094 0.9824 0.6918  -0.04
Se: 0.7906 0.0176 0.3082  -0.04
Se: 0.7906 0.5813 0.3082  -0.04
Se: 0.2269 0.0176 0.3082  -0.04
Se: 0.2613 0.5226 0.2839  0.00

Results
The symmetry is R-3m, No. 166. For the total energy, the calculation gives -5.00 eV/atom. As for the crystal system: trigonal.

---

# 4
The following is a GGA-PBE calculation of a geometry-optimized Pr3MnTl4Se8 structure, from Alexandria via LeMat-Bulk.

Unit cell a=8.5089 b=9.0880 c=8.5092 alpha=117.92 beta=120.00 gamma=90.00
Each line ends with the local moment (μB).
Fractional coordinates of all 16 atoms:
Tl: 0.5000 0.0000 0.5000  0.01
Tl: 0.0000 0.0000 0.5000  0.01
Tl: 0.0000 0.0000 0.0000  0.01
Tl: 0.5000 0.0000 0.0000  0.00
Pr: 0.5000 0.5000 0.0000  0.01
Pr: 0.5000 0.5000 0.5000  0.01
Pr: 0.0000 0.5000 0.5000  0.01
Se: 0.7589 0.7047 0.9818  -0.01
Se: 0.2606 0.2819 0.5213  0.00
Se: 0.7768 0.2950 0.5536  -0.01
Se: 0.2229 0.7047 0.9818  -0.01
Se: 0.7771 0.2953 0.0182  -0.01
Se: 0.2411 0.2953 0.0182  -0.01
Se: 0.7394 0.7181 0.4787  0.00
Se: 0.2232 0.7050 0.4464  -0.01
Mn: 0.0000 0.5000 0.0000  4.04

Results
The symmetry is R-3m, No. 166. For the total energy, the calculation gives -4.88 eV/atom. As for the crystal system: trigonal.

---

# 5
The following is a GGA-PBE calculation of a geometry-optimized Pr2MnTl3Se6 structure, from Alexandria via LeMat-Bulk.

Unit cell a=7.2284 b=7.2284 c=8.1170 alpha=99.36 beta=99.36 gamma=118.73
Each line ends with the local moment (μB).
Fractional coordinates of all 12 atoms:
Se: 0.7539 0.7539 0.2284  0.02
Se: 0.6411 0.9348 0.8070  -0.03
Se: 0.0652 0.3589 0.1930  -0.03
Se: 0.9348 0.6411 0.8070  -0.03
Se: 0.2461 0.2461 0.7716  0.02
Se: 0.3589 0.0652 0.1930  -0.03
Tl: 0.5000 0.5000 0.5000  0.02
Tl: 0.1735 0.8265 0.5000  0.00
Tl: 0.8265 0.1735 0.5000  0.00
Pr: 0.3359 0.6641 0.0000  0.01
Pr: 0.6641 0.3359 0.0000  0.01
Mn: 0.0000 0.0000 0.0000  3.79

Results
The symmetry is C2/m, No. 12. For the total energy, the calculation gives -4.90 eV/atom. As for the crystal system: monoclinic.

---

# 6
The following is a GGA-PBE calculation of a geometry-optimized Pr2TmMnSe5 structure, from Alexandria via LeMat-Bulk.

Unit cell a=4.0848 b=8.9303 c=12.5318 alpha=90.00 beta=90.00 gamma=103.22
Each line ends with the local moment (μB).
Fractional coordinates of all 18 atoms:
Tm: 0.8165 0.6330 0.5234  0.01
Tm: 0.1835 0.3670 0.0234  0.01
Se: 0.3029 0.6057 0.6813  0.02
Se: 0.5044 0.0089 0.2517  0.04
Se: 0.9808 0.9617 0.5246  0.05
Se: 0.3065 0.6130 0.3612  0.03
Se: 0.0192 0.0383 0.0246  0.05
Se: 0.6548 0.3095 0.5174  0.02
Se: 0.6971 0.3943 0.1813  0.02
Se: 0.3452 0.6905 0.0174  0.02
Se: 0.6935 0.3870 0.8612  0.03
Se: 0.4956 0.9911 0.7517  0.04
Pr: 0.1183 0.2366 0.3436  0.02
Pr: 0.8817 0.7634 0.8436  0.02
Pr: 0.8786 0.7572 0.1941  -0.03
Pr: 0.1214 0.2428 0.6941  -0.03
Mn: 0.5551 0.1102 0.9266  3.79
Mn: 0.4449 0.8898 0.4266  3.79

Results
The symmetry is Cmc2_1, No. 36. For the total energy, the calculation gives -6.07 eV/atom. As for the crystal system: orthorhombic.

---

# 7
The following is a GGA-PBE calculation of a geometry-optimized PrMn4Si2 structure, from Alexandria via LeMat-Bulk.

Unit cell a=3.9412 b=3.9173 c=6.9129 alpha=90.00 beta=106.56 gamma=90.00
Fractional coordinates of all 7 atoms:
Si: 0.5988 0.5000 0.1975
Si: 0.4012 0.5000 0.8025
Mn: 0.7975 0.5000 0.5951
Mn: 0.2975 0.0000 0.5950
Mn: 0.7025 0.0000 0.4050
Mn: 0.2025 0.5000 0.4049
Pr: 0.0000 0.0000 0.0000

Results
The symmetry is Cmmm, No. 65. For the total energy, the calculation gives -7.88 eV/atom. As for the crystal system: orthorhombic.

---

# 8
The following is a GGA-PBE calculation of a geometry-optimized PrMn3Si2 structure, from Alexandria via LeMat-Bulk.

Unit cell a=3.9007 b=7.6754 c=7.2654 alpha=113.67 beta=90.00 gamma=104.72
Each line ends with the local moment (μB).
Fractional coordinates of all 12 atoms:
Mn: 0.0417 0.0834 0.3922  1.45
Mn: 0.5806 0.1612 0.6250  -1.02
Mn: 0.9583 0.9166 0.6078  1.45
Mn: 0.4194 0.8388 0.3750  -1.02
Mn: 0.3127 0.6254 0.5358  1.77
Mn: 0.6873 0.3746 0.4642  1.77
Si: 0.1930 0.3859 0.6804  -0.03
Si: 0.4788 0.9575 0.8099  -0.04
Si: 0.8070 0.6141 0.3196  -0.03
Si: 0.5212 0.0425 0.1901  -0.04
Pr: 0.1467 0.2934 0.0616  -0.03
Pr: 0.8533 0.7066 0.9384  -0.03

Results
The symmetry is C2/m, No. 12. For the total energy, the calculation gives -7.60 eV/atom. As for the crystal system: monoclinic.

---

# 9
The following is a GGA-PBE calculation of a geometry-optimized PrMn3Si3 structure, from Alexandria via LeMat-Bulk.

Unit cell a=6.3638 b=6.3638 c=6.3638 alpha=90.00 beta=90.00 gamma=90.00
Each line ends with the local moment (μB).
Fractional coordinates of all 14 atoms:
Si: 0.0000 0.2500 0.5000  -0.08
Si: 0.2500 0.5000 0.0000  -0.08
Si: 0.5000 0.0000 0.2500  -0.08
Si: 0.7500 0.5000 0.0000  -0.08
Si: 0.5000 0.0000 0.7500  -0.08
Si: 0.0000 0.7500 0.5000  -0.08
Mn: 0.5000 0.7500 0.0000  1.42
Mn: 0.5000 0.2500 0.0000  1.42
Mn: 0.0000 0.5000 0.2500  1.42
Mn: 0.0000 0.5000 0.7500  1.42
Mn: 0.7500 0.0000 0.5000  1.42
Mn: 0.2500 0.0000 0.5000  1.42
Pr: 0.0000 0.0000 0.0000  -0.08
Pr: 0.5000 0.5000 0.5000  -0.08

Results
The symmetry is Pm-3n, No. 223. For the total energy, the calculation gives -6.81 eV/atom. As for the crystal system: cubic.

---

# 10
The following is a GGA-PBE calculation of a geometry-optimized PrMnSi structure, from Alexandria via LeMat-Bulk.

Unit cell a=3.9641 b=3.9703 c=8.7355 alpha=90.00 beta=116.96 gamma=90.00
Each line ends with the local moment (μB).
Fractional coordinates of all 6 atoms:
Si: 0.5771 0.2478 0.3247  -0.07
Si: 0.4305 0.7478 0.6785  -0.07
Pr: 0.0761 0.2478 0.8243  -0.03
Pr: 0.9316 0.7478 0.1789  -0.03
Mn: 0.7535 0.7477 0.5012  2.03
Mn: 0.2543 0.2477 0.5020  2.03

Results
The symmetry is P4/nmm, No. 129. For the total energy, the calculation gives -6.94 eV/atom. As for the crystal system: tetragonal.

---

# 11
The following is a GGA-PBE calculation of a geometry-optimized PrMnSi3 structure, from Alexandria via LeMat-Bulk.

Unit cell a=4.4184 b=5.6842 c=7.3747 alpha=90.00 beta=90.00 gamma=90.00
Each line ends with the local moment (μB).
Fractional coordinates of all 10 atoms:
Si: 0.0000 0.7498 0.7499  -0.01
Si: 0.0000 0.7502 0.2499  -0.01
Si: 0.5000 0.5000 0.0000  -0.03
Si: 0.0000 0.2498 0.7501  -0.01
Si: 0.0000 0.2502 0.2501  -0.01
Si: 0.5000 0.0000 0.5000  -0.03
Mn: 0.0000 0.5000 0.0000  1.20
Mn: 0.0000 0.0000 0.5000  1.20
Pr: 0.5000 0.0000 0.0000  0.07
Pr: 0.5000 0.5000 0.5000  0.07

Results
The symmetry is Cmmm, No. 65. For the total energy, the calculation gives -6.19 eV/atom. As for the crystal system: orthorhombic.

---

# 12
The following is a GGA-PBE calculation of a geometry-optimized PrMn10Si2 structure, from Alexandria via LeMat-Bulk.

Unit cell a=6.4022 b=6.4022 c=8.1332 alpha=90.00 beta=90.00 gamma=98.81
Each line ends with the local moment (μB).
Fractional coordinates of all 26 atoms:
Mn: 0.2571 0.4760 0.7500  -0.66
Mn: 0.1782 0.8218 0.8882  0.24
Mn: 0.8218 0.1782 0.1118  0.24
Mn: 0.1237 0.3719 0.2500  -0.98
Mn: 0.7429 0.5240 0.2500  -0.66
Mn: 0.6281 0.8763 0.2500  -0.98
Mn: 0.4000 0.6000 0.4330  0.70
Mn: 0.7764 0.7764 0.0000  1.83
Mn: 0.3719 0.1237 0.7500  -0.98
Mn: 0.4000 0.6000 0.0670  0.70
Mn: 0.6000 0.4000 0.5670  0.70
Mn: 0.8218 0.1782 0.3882  0.24
Mn: 0.8763 0.6281 0.7500  -0.98
Mn: 0.4760 0.2571 0.2500  -0.66
Mn: 0.1782 0.8218 0.6118  0.24
Mn: 0.2236 0.2236 0.0000  1.83
Mn: 0.2236 0.2236 0.5000  1.83
Mn: 0.6000 0.4000 0.9330  0.70
Mn: 0.5240 0.7429 0.7500  -0.66
Mn: 0.7764 0.7764 0.5000  1.83
Si: 0.0000 0.5000 0.5000  -0.01
Si: 0.0000 0.5000 0.0000  -0.01
Si: 0.5000 0.0000 0.5000  -0.01
Si: 0.5000 0.0000 0.0000  -0.01
Pr: 0.1263 0.8737 0.2500  0.02
Pr: 0.8737 0.1263 0.7500  0.02

Results
The symmetry is Cmcm, No. 63. For the total energy, the calculation gives -8.38 eV/atom. As for the crystal system: orthorhombic.